[1]
The following is a GGA-PBE calculation of a geometry-optimized BaPu2Ag9 structure, from Alexandria via LeMat-Bulk.

abc: 5.739 5.739 10.101
angles: 73.50 73.50 60.00
Fractional coordinates of all 12 atoms:
Ba: 0.000 0.000 0.000
Ag: 0.585 0.084 0.747
Pu: 0.150 0.150 0.550
Ag: 0.500 0.500 0.500
Ag: 0.667 0.667 0.998
Ag: 0.415 0.916 0.253
Ag: 0.084 0.585 0.747
Ag: 0.585 0.585 0.747
Ag: 0.333 0.333 0.002
Pu: 0.850 0.850 0.450
Ag: 0.916 0.415 0.253
Ag: 0.415 0.415 0.253

Summary:
* energy relative to the elements: -0.047 eV per atom
* calculated density: 9.737 g/cm³
* symmetry: R-3m, No. 166
* raw total energy: -56.810 eV for the cell shown

[2]
The following is a GGA-PBE calculation of a geometry-optimized KBeRu structure, from Alexandria via LeMat-Bulk.

abc: 4.794 4.794 2.663
angles: 90.00 90.00 120.00
Fractional coordinates of all 3 atoms:
Ru: 0.333 0.667 0.830
K: 0.667 0.333 0.334
Be: 0.000 0.000 0.836

Summary:
* energy relative to the elements: 1.250 eV per atom
* calculated density: 4.674 g/cm³
* symmetry: P3m1, No. 156
* raw total energy: -10.349 eV for the cell shown
* E above lowest polymorph: 746 meV/atom

[3]
The following is a GGA-PBE calculation of a geometry-optimized Na3CoC structure, from Alexandria via LeMat-Bulk.

abc: 5.409 5.409 5.409
angles: 90.00 90.00 90.00
Fractional coordinates of all 5 atoms:
Na: 0.000 0.000 0.500
Na: 0.500 0.000 0.000
Na: 0.000 0.500 0.000
C: 0.500 0.500 0.500
Co: 0.000 0.000 0.000

Summary:
* energy relative to the elements: 1.878 eV per atom
* calculated density: 1.468 g/cm³
* symmetry: Pm-3m, No. 221
* raw total energy: -10.896 eV for the cell shown
* E above lowest polymorph: 491 meV/atom

[4]
The following is a GGA-PBE calculation of a geometry-optimized BiRh structure, from Alexandria via LeMat-Bulk.

abc: 5.594 5.594 5.594
angles: 90.00 90.00 90.00
Fractional coordinates of all 8 atoms:
Rh: 0.500 0.500 0.000
Rh: 0.500 0.000 0.500
Rh: 0.000 0.000 0.000
Bi: 0.000 0.000 0.500
Bi: 0.000 0.500 0.000
Bi: 0.500 0.500 0.500
Bi: 0.500 0.000 0.000
Rh: 0.000 0.500 0.500

Summary:
* energy relative to the elements: 0.136 eV per atom
* calculated density: 11.835 g/cm³
* symmetry: Fm-3m, No. 225
* raw total energy: -43.838 eV for the cell shown

[5]
The following is a GGA-PBE calculation of a geometry-optimized POs2W structure, from Alexandria via LeMat-Bulk.

abc: 8.511 8.511 8.511
angles: 19.00 19.00 19.00
Fractional coordinates of all 4 atoms:
P: 0.497 0.497 0.497
W: 0.246 0.246 0.246
Os: 0.000 0.000 0.000
Os: 0.758 0.758 0.758

Summary:
* energy relative to the elements: 0.122 eV per atom
* calculated density: 17.318 g/cm³
* symmetry: R3m, No. 160
* raw total energy: -40.336 eV for the cell shown

[6]
The following is a GGA-PBE calculation of a geometry-optimized RbLiMg2P structure, from Alexandria via LeMat-Bulk.

abc: 5.950 5.235 5.950
angles: 90.00 90.00 90.00
Fractional coordinates of all 5 atoms:
Li: 0.000 0.500 0.000
Rb: 0.000 0.000 0.000
P: 0.500 0.500 0.500
Mg: 0.500 0.000 0.000
Mg: 0.000 0.000 0.500

Summary:
* energy relative to the elements: 1.386 eV per atom
* calculated density: 1.541 g/cm³
* symmetry: P4/mmm, No. 123
* raw total energy: -4.552 eV for the cell shown

[7]
The following is a GGA-PBE calculation of a geometry-optimized Pm2PrTm structure, from Alexandria via LeMat-Bulk.

abc: 3.532 3.532 12.767
angles: 82.05 82.05 60.00
Fractional coordinates of all 4 atoms:
Pr: 0.000 0.000 0.000
Tm: 0.500 0.500 0.500
Pm: 0.091 0.091 0.727
Pm: 0.909 0.909 0.273

Summary:
* energy relative to the elements: 0.144 eV per atom
* calculated density: 7.314 g/cm³
* symmetry: R-3m, No. 166
* raw total energy: -18.177 eV for the cell shown
* E above lowest polymorph: 128 meV/atom

[8]
The following is a GGA-PBE calculation of a geometry-optimized Tb6ErSc3 structure, from Alexandria via LeMat-Bulk.

abc: 3.538 16.831 10.836
angles: 75.75 99.39 77.85
Fractional coordinates of all 20 atoms:
Tb: 0.125 0.958 0.666
Sc: 0.624 0.859 0.466
Tb: 0.882 0.636 0.534
Sc: 0.877 0.841 0.935
Tb: 0.873 0.242 0.731
Sc: 0.376 0.141 0.534
Er: 0.375 0.340 0.933
Tb: 0.376 0.941 0.133
Tb: 0.370 0.746 0.728
Tb: 0.118 0.364 0.466
Tb: 0.624 0.059 0.867
Tb: 0.127 0.758 0.269
Tb: 0.630 0.254 0.272
Tb: 0.875 0.442 0.135
Sc: 0.626 0.456 0.666
Sc: 0.374 0.544 0.334
Tb: 0.125 0.558 0.865
Er: 0.625 0.660 0.067
Sc: 0.123 0.159 0.065
Tb: 0.875 0.042 0.334

Summary:
* energy relative to the elements: 0.029 eV per atom
* calculated density: 7.003 g/cm³
* symmetry: P-1, No. 2
* raw total energy: -102.105 eV for the cell shown
* E above lowest polymorph: 0 meV/atom

[9]
The following is a GGA-PBE calculation of a geometry-optimized AlZn2SnAu4 structure, from Alexandria via LeMat-Bulk.

abc: 4.470 4.470 8.926
angles: 75.50 75.50 60.00
Fractional coordinates of all 8 atoms:
Au: 0.134 0.134 0.599
Zn: 0.754 0.754 0.737
Au: 0.393 0.393 0.820
Au: 0.866 0.866 0.401
Sn: 0.000 0.000 0.000
Al: 0.500 0.500 0.500
Zn: 0.246 0.246 0.263
Au: 0.607 0.607 0.180

Summary:
* energy relative to the elements: -0.174 eV per atom
* calculated density: 11.953 g/cm³
* symmetry: R-3m, No. 166
* raw total energy: -24.792 eV for the cell shown

[10]
The following is a GGA-PBE calculation of a geometry-optimized Dy8Er3Mg structure, from Alexandria via LeMat-Bulk.

abc: 4.964 9.926 9.281
angles: 57.69 105.51 90.01
Fractional coordinates of all 12 atoms:
Er: 0.417 0.207 0.833
Dy: 0.082 0.038 0.164
Dy: 0.750 0.872 0.500
Dy: 0.250 0.123 0.500
Dy: 0.916 0.957 0.831
Mg: 0.250 0.621 0.500
Er: 0.750 0.373 0.500
Dy: 0.417 0.704 0.835
Dy: 0.917 0.455 0.833
Dy: 0.083 0.542 0.166
Er: 0.583 0.789 0.166
Dy: 0.584 0.288 0.168

Summary:
* energy relative to the elements: 0.024 eV per atom
* calculated density: 8.270 g/cm³
* symmetry: Cm, No. 8
* raw total energy: -51.813 eV for the cell shown

[11]
The following is a GGA-PBE calculation of a geometry-optimized TlFe2Hg structure, from Alexandria via LeMat-Bulk.

abc: 2.982 2.982 7.889
angles: 90.00 90.00 90.42
Fractional coordinates of all 4 atoms:
Hg: 0.500 0.500 0.250
Tl: 0.500 0.500 0.750
Fe: 0.000 0.000 0.007
Fe: 0.000 0.000 0.493

Summary:
* energy relative to the elements: 0.604 eV per atom
* calculated density: 12.233 g/cm³
* symmetry: Cmmm, No. 65
* raw total energy: -17.179 eV for the cell shown
* E above lowest polymorph: 223 meV/atom

[12]
The following is a GGA-PBE calculation of a geometry-optimized Tl2HRhBr structure, from Alexandria via LeMat-Bulk.

abc: 5.501 5.501 3.583
angles: 90.00 90.00 90.00
Fractional coordinates of all 5 atoms:
Rh: 0.000 0.000 0.000
Tl: 0.500 0.000 0.000
Br: 0.500 0.500 0.500
Tl: 0.000 0.500 0.000
H: 0.000 0.000 0.500

Summary:
* calculated density: 9.075 g/cm³
* symmetry: P4/mmm, No. 123
* raw total energy: -18.017 eV for the cell shown